Ce2UFe3: optimized geometry, PBE-GGA.

## Properties
size of the total moment: 0.00 μB/cell
VASP energy: -8.23 eV/atom
SG: No. 194
energy of formation from the pure elements: -13 kJ per mole of atoms

The structure in POSCAR format:
```
Ce2UFe3
1.0
5.4696 0.0000 0.0000
-2.7348 4.7368 0.0000
0.0000 0.0000 7.8341
Ce U Fe
4 2 6
Direct
0.6667 0.3333 0.4348
0.3333 0.6667 0.5652
0.3333 0.6667 0.9348
0.6667 0.3333 0.0652
0.0000 0.0000 0.5000
0.0000 0.0000 0.0000
0.1618 0.3237 0.2500
0.3237 0.1618 0.7500
0.8382 0.6763 0.7500
0.1618 0.8382 0.2500
0.8382 0.1618 0.7500
0.6763 0.8382 0.2500
```

---

MgTiNb: optimized geometry, PBE-GGA.

## Properties
E above lowest polymorph: 0.170 eV/atom
size of the total moment: 0.00 μB/cell
VASP energy: -6.31 eV/atom
SG: No. 156
energy of formation from the pure elements: 20 kJ per mole of atoms

The structure in POSCAR format:
```
MgTiNb
1.0
-0.0632 -0.9441 2.8518
2.5343 -0.2191 -1.5992
2.0104 6.7115 2.2663
Nb Mg Ti
1 1 1
Direct
0.3333 0.6667 0.6534
0.0000 0.0000 0.0000
0.6667 0.3333 0.3466
```

---

Sr2Li2P: optimized geometry, PBE-GGA.

## Properties
size of the total moment: 0.00 μB/cell
VASP energy: -2.76 eV/atom
SG: No. 127
energy of formation from the pure elements: -23 kJ per mole of atoms

The structure in POSCAR format:
```
Sr2Li2P
1.0
-6.2383 -1.5702 -3.2415
-1.3133 -5.0450 4.9713
-2.2828 3.3326 2.7789
Sr Li P
4 4 2
Direct
0.1947 0.6947 0.5000
0.6947 0.8053 0.5000
0.8053 0.3053 0.5000
0.3053 0.1947 0.5000
0.3655 0.8655 0.0000
0.8655 0.6345 0.0000
0.6345 0.1345 0.0000
0.1345 0.3655 0.0000
0.0000 0.0000 0.0000
0.5000 0.5000 0.0000
```

---

- Look up the size of the total moment of the second one.
  0.00 μB/cell

---

- Which value of VASP energy does entry 2 give?
  -6.31 eV/atom